No. 1
Material: Na3SnBi
Method: DFT, PBE
State: optimized geometry

## Properties
- Offset from the most stable computed form: 0.0 meV/atom
- Energy of formation from the pure elements: -0.2333 eV per atom
- Space group: P-1, No. 2
- N(E_F): 2.8 states/eV/cell
- Total magnetic moment: 0.00 μB/cell

a b c (Å): 7.400 9.475 5.945
angles (deg): 111.32 86.48 53.48
Atoms (fractional coordinates):
1 Na 0.266 0.151 0.448
2 Na 0.247 0.751 0.266
3 Na 0.219 0.556 0.687
4 Na 0.753 0.249 0.734
5 Na 0.734 0.849 0.552
6 Na 0.781 0.444 0.313
7 Sn 0.220 0.954 0.855
8 Sn 0.780 0.046 0.145
9 Bi 0.307 0.339 0.069
10 Bi 0.693 0.661 0.931

***

No. 2
Material: NaSn6Bi2
Method: DFT, PBE
State: optimized geometry

## Properties
- Energy of formation from the pure elements: 0.0080 eV per atom
- Space group: P-1, No. 2
- N(E_F): 4.0 states/eV/cell
- Total magnetic moment: 0.00 μB/cell

a b c (Å): 5.929 5.872 9.122
angles (deg): 118.17 108.54 89.37
Atoms (fractional coordinates):
1 Na 0.500 0.500 0.000
2 Sn 0.389 0.853 0.776
3 Sn 0.611 0.147 0.224
4 Sn 0.716 0.801 0.431
5 Sn 0.179 0.541 0.351
6 Sn 0.284 0.199 0.569
7 Sn 0.821 0.459 0.649
8 Bi 0.929 0.127 0.860
9 Bi 0.071 0.873 0.140

***

No. 3
Material: NaSn5Bi4
Method: DFT, PBE
State: optimized geometry

## Properties
- Energy of formation from the pure elements: 0.0647 eV per atom
- Space group: Pmmn, No. 59
- N(E_F): 9.2 states/eV/cell
- Total magnetic moment: 0.00 μB/cell

a b c (Å): 5.661 10.206 11.487
angles (deg): 90.00 90.00 90.00
Atoms (fractional coordinates):
1 Na 0.886 0.000 0.000
2 Na 0.114 0.500 0.500
3 Sn 0.258 0.666 0.755
4 Sn 0.258 0.334 0.755
5 Sn 0.668 0.500 0.000
6 Sn 0.258 0.666 0.245
7 Sn 0.258 0.334 0.245
8 Sn 0.742 0.834 0.255
9 Sn 0.742 0.166 0.255
10 Sn 0.332 0.000 0.500
11 Sn 0.742 0.166 0.745
12 Sn 0.742 0.834 0.745
13 Bi 0.224 0.000 0.765
14 Bi 0.438 0.772 0.000
15 Bi 0.438 0.228 0.000
16 Bi 0.224 0.000 0.235
17 Bi 0.776 0.500 0.265
18 Bi 0.562 0.728 0.500
19 Bi 0.562 0.272 0.500
20 Bi 0.776 0.500 0.735